(1)
Entry from the Alexandria database: a geometry-optimized InP2OF structure (PBE).

Total moment: 0.00 μB/f.u.
ΔE_f (raw): 0.663 eV per atom

Lattice parameters (Å, degrees): 5.1413 5.1413 4.0235 90.00 90.00 90.00
Atoms (fractional coordinates):
P 0.5000 0.0000 0.0000
P 0.0000 0.5000 0.0000
In 0.0000 0.0000 0.0000
O 0.0000 0.0000 0.5000
F 0.5000 0.5000 0.5000

***

(2)
Entry from the Alexandria database: a geometry-optimized Ag2HgHPd structure (PBE).

Total energy: -2.903 eV per atom
Total moment: 0.00 μB/f.u.

Lattice parameters (Å, degrees): 4.5099 4.5099 3.7011 90.00 90.00 90.00
Atoms (fractional coordinates):
Ag 0.0000 0.5000 0.0000
Ag 0.5000 0.0000 0.0000
Hg 0.5000 0.5000 0.5000
H 0.0000 0.0000 0.0000
Pd 0.0000 0.0000 0.5000

***

(3)
Entry from the Alexandria database: a geometry-optimized Ce3Zn7Ir2 structure (PBE).

Total moment: 1.69 μB/f.u.
Formation energy: -305 meV/atom

Lattice parameters (Å, degrees): 5.3558 5.3558 9.4500 73.54 73.54 60.00
Site moments in Bohr magnetons follow the coordinates.
Atoms (fractional coordinates):
Zn 0.4209 0.4209 0.2383  0.00
Ce 0.8472 0.8472 0.4583  0.67
Zn 0.9200 0.4209 0.2383  0.00
Zn 0.5791 0.0800 0.7617  0.00
Zn 0.5791 0.5791 0.7617  0.00
Ce 0.1528 0.1528 0.5417  0.67
Ir 0.3344 0.3344 0.9967  0.02
Ir 0.6656 0.6656 0.0033  0.02
Ce 0.0000 0.0000 0.0000  0.01
Zn 0.4209 0.9200 0.2383  0.00
Zn 0.0800 0.5791 0.7617  0.00
Zn 0.5000 0.5000 0.5000  0.00

***

(4)
Entry from the Alexandria database: a geometry-optimized PuZr structure (PBE).

Total moment: 5.47 μB/f.u.
Formation energy: 171 meV/atom

Lattice parameters (Å, degrees): 5.6046 5.6046 5.6046 33.89 33.89 33.89
Site moments in Bohr magnetons follow the coordinates.
Atoms (fractional coordinates):
Pu 0.0000 0.0000 0.0000  5.26
Zr 0.5000 0.5000 0.5000  -0.03